Compound: Ba8Eu7Cl34
Source: Alexandria via LeMat-Bulk
Functional: PBE
Structure: optimized geometry

a = 13.520 Å, b = 13.520 Å, c = 13.520 Å
α = 130.49°, β = 130.49°, γ = 72.63°
Site moments in Bohr magnetons follow the coordinates.
Fractional positions:
Cl1 0.590 0.303 0.136  0.03
Cl2 0.434 0.327 0.285  0.02
Cl3 0.772 0.636 0.408  0.03
Cl4 0.167 0.454 0.864  0.03
Cl5 0.845 0.124 0.122  0.00
Cl6 0.750 0.250 0.500  0.01
Cl7 0.410 0.697 0.864  0.03
Cl8 0.077 0.577 0.500  0.02
Cl9 0.923 0.423 0.500  0.02
Cl10 0.277 0.155 0.279  0.00
Cl11 0.250 0.750 0.500  0.01
Cl12 0.303 0.167 0.713  0.03
Cl13 0.997 0.277 0.122  0.00
Cl14 0.003 0.723 0.878  0.00
Cl15 0.149 0.434 0.107  0.02
Cl16 0.155 0.876 0.878  0.00
Cl17 0.566 0.673 0.715  0.02
Cl18 0.636 0.228 0.864  0.03
Cl19 0.546 0.410 0.713  0.03
Cl20 0.697 0.833 0.287  0.03
Cl21 0.833 0.546 0.136  0.03
Cl22 0.042 0.149 0.715  0.02
Cl23 0.723 0.845 0.721  0.00
Cl24 0.423 0.923 0.500  0.02
Cl25 0.364 0.772 0.136  0.03
Cl26 0.673 0.958 0.107  0.02
Cl27 0.876 0.997 0.721  0.00
Cl28 0.851 0.566 0.893  0.02
Cl29 0.124 0.003 0.279  0.00
Cl30 0.327 0.042 0.893  0.02
Cl31 0.454 0.590 0.287  0.03
Cl32 0.958 0.851 0.285  0.02
Cl33 0.577 0.077 0.500  0.02
Cl34 0.228 0.364 0.592  0.03
Ba1 0.296 0.475 0.454  0.00
Ba2 0.158 0.704 0.179  0.00
Ba3 0.979 0.158 0.454  0.00
Ba4 0.704 0.525 0.546  0.00
Ba5 0.842 0.296 0.821  0.00
Ba6 0.021 0.842 0.546  0.00
Ba7 0.475 0.021 0.179  0.00
Ba8 0.525 0.979 0.821  0.00
Eu1 0.389 0.178 0.567  -6.48
Eu2 0.689 0.689 0.000  -6.47
Eu3 0.311 0.311 0.000  -6.47
Eu4 0.178 0.611 0.789  -6.48
Eu5 0.000 0.000 0.000  6.50
Eu6 0.611 0.822 0.433  -6.48
Eu7 0.822 0.389 0.211  -6.48

The crystal system is tetragonal. The formation energy without anion corrections is -2356 meV per atom.